(1)
First-principles (PBE) data for an optimized crystal structure of YCo4B2, as listed in the Alexandria database.

The space group is Cmmm (No. 65) and the conventional cell measures 3.547, 12.765 and 3.530 Å, with angles of 90.00, 90.00 and 90.00 degrees. Symmetry generates all atoms from Y at (0.000, 0.000, 0.000), Co at (0.000, 0.182, 0.500), Co at (0.000, 0.316, 0.000) and B at (0.000, 0.394, 0.500).

***

(2)
First-principles (PBE) data for an optimized crystal structure of YIn2Ir2, as listed in the Alexandria database.

The space group is I4/mmm (No. 139) and the conventional cell measures 4.185, 4.185 and 12.211 Å, with angles of 90.00, 90.00 and 90.00 degrees. Symmetry generates all atoms from Y at (0.000, 0.000, 0.000), In at (0.000, 0.500, 0.250) and Ir at (0.000, 0.000, 0.399).

***

(3)
First-principles (PBE) data for an optimized crystal structure of AcZn4Ga3, as listed in the Alexandria database.

The space group is P4/mmm (No. 123) and the conventional cell measures 4.444, 4.444 and 8.069 Å, with angles of 90.00, 90.00 and 90.00 degrees. Symmetry generates all atoms from Ac at (0.000, 0.000, 0.000), Zn at (0.000, 0.500, 0.326), Ga at (0.000, 0.000, 0.500) and Ga at (0.500, 0.500, 0.158).

***

Number 1: E_form -0.311 eV per atom, energy -7.2030 eV per atom. Number 2: E_form -0.365 eV per atom, energy -6.2980 eV per atom. Number 3: E_form -0.285 eV per atom, energy -2.5706 eV per atom.